1.
# AcIrN

A geometry-optimized AcIrN structure (GGA-PBE, Alexandria).

a = 10.2979 Å, b = 3.5090 Å, c = 6.1706 Å
α = 90.00°, β = 90.00°, γ = 90.00°
Last column: nearest neighbours and their distance in Å.
Atoms (fractional coordinates):
Ac: 0.1548 0.2500 0.1221  4 N 2.68-2.72
Ac: 0.3452 0.7500 0.6221  4 N 2.68-2.72
Ac: 0.6548 0.2500 0.3779  4 N 2.68-2.72
Ac: 0.8452 0.7500 0.8779  4 N 2.68-2.72
Ir: 0.0714 0.2500 0.6340  2 N 2.07
Ir: 0.4286 0.7500 0.1340  2 N 2.07
Ir: 0.5714 0.2500 0.8660  2 N 2.07
Ir: 0.9286 0.7500 0.3660  2 N 2.07
N: 0.1043 0.7500 0.8043  2 Ir 2.07
N: 0.3957 0.2500 0.3043  2 Ir 2.07
N: 0.6043 0.7500 0.6957  2 Ir 2.07
N: 0.8957 0.2500 0.1957  2 Ir 2.07

* crystal system: orthorhombic
* energy relative to the lowest polymorph listed for this composition: 270 meV per atom
* raw formation energy: -0.522 eV per atom
* calculated total energy: -7.620 eV per atom
* SG: Pnma, No. 62

2.
# KCuSe2

A geometry-optimized KCuSe2 structure (GGA-PBE, Alexandria).

a = 5.8697 Å, b = 5.8697 Å, c = 7.9216 Å
α = 90.00°, β = 90.00°, γ = 142.78°
Last column: nearest neighbours and their distance in Å.
Atoms (fractional coordinates):
K: 0.0000 0.0000 0.0000  4 Se 3.14
Cu: 0.0000 0.0000 0.5000  4 Se 2.36
Se: 0.5000 0.5000 0.3179  2 Cu 2.36
Se: 0.5000 0.5000 0.6821  2 Cu 2.36

* crystal system: orthorhombic
* raw formation energy: -0.343 eV per atom
* calculated total energy: -3.384 eV per atom
* SG: Cmmm, No. 65

3.
# YAs2IBr

A geometry-optimized YAs2IBr structure (GGA-PBE, Alexandria).

a = 5.3802 Å, b = 5.3802 Å, c = 5.4205 Å
α = 90.00°, β = 90.00°, γ = 90.00°
Last column: nearest neighbours and their distance in Å.
Atoms (fractional coordinates):
Y: 0.0000 0.0000 0.0000  4 Br 3.80, 8 As 3.82
As: 0.0000 0.5000 0.5000  2 I 2.69
As: 0.5000 0.0000 0.5000  2 I 2.69
I: 0.5000 0.5000 0.5000  4 As 2.69, 2 Br 2.71
Br: 0.5000 0.5000 0.0000  2 I 2.71

* crystal system: tetragonal
* energy relative to the lowest polymorph listed for this composition: 542 meV per atom
* raw formation energy: 0.479 eV per atom
* calculated total energy: -3.318 eV per atom
* SG: P4/mmm, No. 123

4.
# Ce3Tl3AuS8

A geometry-optimized Ce3Tl3AuS8 structure (GGA-PBE, Alexandria).

a = 8.0009 Å, b = 8.0009 Å, c = 8.5669 Å
α = 115.46°, β = 115.46°, γ = 64.04°
Last column: nearest neighbours and their distance in Å.
Atoms (fractional coordinates):
Ce: 0.0000 0.0000 0.0000  6 S 2.72-2.76
Ce: 0.0000 0.5000 0.0000  6 S 2.67-2.83
Ce: 0.5000 0.0000 0.0000  6 S 2.67-2.83
Tl: 0.0000 0.5000 0.5000  6 S 3.24-3.31
Tl: 0.5000 0.0000 0.5000  6 S 3.24-3.31
Tl: 0.5000 0.5000 0.5000  6 S 3.17-3.34
Au: 0.5000 0.5000 0.0000  2 S 2.41
S: 0.1879 0.7627 0.2157  2 Ce 2.67-2.72
S: 0.2362 0.2362 0.2037  3 Ce 2.76-2.81
S: 0.2373 0.8121 0.7843  2 Ce 2.67-2.72
S: 0.2943 0.2943 0.8263  1 Au 2.41
S: 0.7057 0.7057 0.1737  1 Au 2.41
S: 0.7627 0.1879 0.2157  2 Ce 2.67-2.72
S: 0.7638 0.7638 0.7963  3 Ce 2.76-2.81
S: 0.8121 0.2373 0.7843  2 Ce 2.67-2.72

* crystal system: monoclinic
* raw formation energy: -1.108 eV per atom
* calculated total energy: -5.188 eV per atom
* SG: C2/m, No. 12

5.
# NaUSeO5

A geometry-optimized NaUSeO5 structure (GGA-PBE, Alexandria).

a = 6.4468 Å, b = 6.4468 Å, c = 8.3987 Å
α = 102.42°, β = 102.42°, γ = 108.13°
Last column: nearest neighbours and their distance in Å.
Atoms (fractional coordinates):
Na: 0.1908 0.8092 0.7500  4 O 2.27-2.43
Na: 0.8092 0.1908 0.2500  4 O 2.27-2.43
U: 0.5000 0.5000 0.0000  2 O 1.88
U: 0.5000 0.5000 0.5000  2 O 1.88
Se: 0.1124 0.8876 0.2500  2 O 1.72
Se: 0.8876 0.1124 0.7500  2 O 1.72
O: 0.1545 0.1653 0.8830  1 Se 1.72
O: 0.1653 0.1545 0.3830  1 Se 1.72
O: 0.3133 0.6681 0.5320  1 U 1.88
O: 0.3319 0.6867 0.9680  1 U 1.88
O: 0.4687 0.5313 0.2500  2 U 2.12
O: 0.5313 0.4687 0.7500  2 U 2.12
O: 0.6681 0.3133 0.0320  1 U 1.88
O: 0.6867 0.3319 0.4680  1 U 1.88
O: 0.8347 0.8455 0.6170  1 Se 1.72
O: 0.8455 0.8347 0.1170  1 Se 1.72

* crystal system: monoclinic
* raw formation energy: -2.064 eV per atom
* calculated total energy: -7.174 eV per atom
* SG: C2/c, No. 15

6.
# TlAg2Pd8

A geometry-optimized TlAg2Pd8 structure (GGA-PBE, Alexandria).

a = 7.4604 Å, b = 7.4604 Å, c = 7.4604 Å
α = 148.31°, β = 71.17°, γ = 118.16°
Last column: nearest neighbours and their distance in Å.
Atoms (fractional coordinates):
Tl: 0.0000 0.0000 0.0000  10 Pd 2.71-2.97
Ag: 0.2946 0.9531 0.3415  11 Pd 2.75-2.94
Ag: 0.6116 0.9531 0.6585  11 Pd 2.75-2.94
Pd: 0.0350 0.2133 0.8217  1 Tl 2.71, 6 Pd 2.74-2.83, 3 Ag 2.75-2.81
Pd: 0.1409 0.4739 0.6671  7 Pd 2.74-2.83, 2 Tl 2.88, 2 Ag 2.94
Pd: 0.3917 0.2133 0.1783  1 Tl 2.71, 6 Pd 2.74-2.83, 3 Ag 2.75-2.81
Pd: 0.4453 0.4453 0.0000  6 Pd 2.80-2.92, 4 Ag 2.80
Pd: 0.5578 0.7174 0.8404  8 Pd 2.81-2.85, 3 Ag 2.85-2.87, 1 Tl 2.91
Pd: 0.7185 0.2185 0.5000  2 Ag 2.80, 8 Pd 2.81-2.92, 2 Tl 2.97
Pd: 0.8068 0.4739 0.3329  7 Pd 2.74-2.83, 2 Tl 2.88, 2 Ag 2.94
Pd: 0.8771 0.7174 0.1596  8 Pd 2.81-2.85, 3 Ag 2.85-2.87, 1 Tl 2.91

* energy of formation: -4 meV per atom
* crystal system: orthorhombic
* energy relative to the lowest polymorph listed for this composition: 82 meV per atom
* calculated total energy: -4.514 eV per atom
* SG: Imm2, No. 44

7.
# KBa3C

A geometry-optimized KBa3C structure (GGA-PBE, Alexandria).

a = 6.6144 Å, b = 6.6144 Å, c = 6.6144 Å
α = 90.00°, β = 90.00°, γ = 90.00°
Last column: nearest neighbours and their distance in Å.
Atoms (fractional coordinates):
K: 0.0000 0.0000 0.0000  6 Ba 3.31
Ba: 0.0000 0.0000 0.5000  2 K 3.31
Ba: 0.0000 0.5000 0.0000  2 K 3.31
Ba: 0.5000 0.0000 0.0000  2 K 3.31
C: 0.5000 0.5000 0.5000  12 Ba 4.68

* energy of formation: 2010 meV per atom
* crystal system: cubic
* energy relative to the lowest polymorph listed for this composition: 1520 meV per atom
* calculated total energy: -1.207 eV per atom
* SG: Pm-3m, No. 221

8.
# KLaSb2

A geometry-optimized KLaSb2 structure (GGA-PBE, Alexandria).

a = 3.6898 Å, b = 3.6898 Å, c = 9.5954 Å
α = 90.00°, β = 90.00°, γ = 90.17°
Last column: nearest neighbours and their distance in Å.
Atoms (fractional coordinates):
K: 0.0000 0.0000 0.0000  8 Sb 3.67-3.68, 4 K 3.69
La: 0.0000 0.0000 0.5000  8 Sb 3.42, 4 La 3.69
Sb: 0.5000 0.5000 0.2694  4 La 3.42, 4 K 3.67-3.68, 4 Sb 3.69
Sb: 0.5000 0.5000 0.7306  4 La 3.42, 4 K 3.67-3.68, 4 Sb 3.69

* crystal system: orthorhombic
* energy relative to the lowest polymorph listed for this composition: 82 meV per atom
* raw formation energy: -0.667 eV per atom
* calculated total energy: -4.235 eV per atom
* SG: Cmmm, No. 65

9.
# CsScSb3

A geometry-optimized CsScSb3 structure (GGA-PBE, Alexandria).

a = 5.9414 Å, b = 5.9414 Å, c = 5.9414 Å
α = 90.00°, β = 90.00°, γ = 90.00°
Last column: nearest neighbours and their distance in Å.
Atoms (fractional coordinates):
Cs: 0.0000 0.0000 0.0000  6 Sb 2.97
Sc: 0.5000 0.5000 0.5000  12 Sb 4.20
Sb: 0.0000 0.0000 0.5000  2 Cs 2.97
Sb: 0.0000 0.5000 0.0000  2 Cs 2.97
Sb: 0.5000 0.0000 0.0000  2 Cs 2.97

* crystal system: cubic
* raw formation energy: 1.415 eV per atom
* calculated total energy: -2.496 eV per atom
* SG: Pm-3m, No. 221

10.
# KSrSb2Te

A geometry-optimized KSrSb2Te structure (GGA-PBE, Alexandria).

a = 5.8129 Å, b = 5.8129 Å, c = 5.9807 Å
α = 90.00°, β = 90.00°, γ = 90.00°
Last column: nearest neighbours and their distance in Å.
Atoms (fractional coordinates):
K: 0.0000 0.0000 0.0000  4 Sb 2.91, 2 Te 2.99
Sr: 0.5000 0.5000 0.5000  4 Te 4.11, 8 Sb 4.17
Sb: 0.0000 0.5000 0.0000  2 K 2.91
Sb: 0.5000 0.0000 0.0000  2 K 2.91
Te: 0.0000 0.0000 0.5000  2 K 2.99

* crystal system: tetragonal
* energy relative to the lowest polymorph listed for this composition: 301 meV per atom
* raw formation energy: 0.319 eV per atom
* calculated total energy: -2.515 eV per atom
* SG: P4/mmm, No. 123

11.
# AcThGe2Pd5

A geometry-optimized AcThGe2Pd5 structure (GGA-PBE, Alexandria).

a = 4.4144 Å, b = 4.4144 Å, c = 9.1033 Å
α = 90.00°, β = 90.00°, γ = 90.00°
Last column: nearest neighbours and their distance in Å.
Atoms (fractional coordinates):
Ac: 0.0000 0.0000 0.0000  12 Pd 3.08-3.12
Th: 0.0000 0.0000 0.5000  8 Pd 3.27, 8 Ge 3.36
Ge: 0.5000 0.5000 0.3645  1 Ge 2.47, 4 Pd 2.50
Ge: 0.5000 0.5000 0.6355  1 Ge 2.47, 4 Pd 2.50
Pd: 0.0000 0.5000 0.2354  2 Ge 2.50
Pd: 0.0000 0.5000 0.7646  2 Ge 2.50
Pd: 0.5000 0.0000 0.2354  2 Ge 2.50
Pd: 0.5000 0.0000 0.7646  2 Ge 2.50
Pd: 0.5000 0.5000 0.0000  8 Pd 3.08, 4 Ac 3.12, 2 Ge 3.32

* energy of formation: -774 meV per atom
* crystal system: tetragonal
* calculated total energy: -5.965 eV per atom
* SG: P4/mmm, No. 123

12.
# LiRu3

A geometry-optimized LiRu3 structure (GGA-PBE, Alexandria).

a = 4.7713 Å, b = 4.7713 Å, c = 4.7713 Å
α = 90.00°, β = 90.00°, γ = 90.00°
Last column: nearest neighbours and their distance in Å.
Atoms (fractional coordinates):
Li: 0.0000 0.0000 0.0000  12 Ru 2.67
Li: 0.5000 0.5000 0.5000  12 Ru 2.67
Ru: 0.0000 0.2500 0.5000  2 Ru 2.39, 4 Li 2.67
Ru: 0.0000 0.7500 0.5000  2 Ru 2.39, 4 Li 2.67
Ru: 0.2500 0.5000 0.0000  2 Ru 2.39, 4 Li 2.67
Ru: 0.5000 0.0000 0.2500  2 Ru 2.39, 4 Li 2.67
Ru: 0.5000 0.0000 0.7500  2 Ru 2.39, 4 Li 2.67
Ru: 0.7500 0.5000 0.0000  2 Ru 2.39, 4 Li 2.67

* energy of formation: 358 meV per atom
* crystal system: cubic
* calculated total energy: -7.077 eV per atom
* SG: Pm-3n, No. 223

Ρ, respectively: 12.91, 2.62, 4.72, 5.81, 4.52, 11.14, 2.66, 5.36, 4.30, 4.09, 10.64, 9.48 g/cm³.